Computed, not measured: a relaxed structure of SrScPd at the PBE-GGA level of DFT. Values from VASP.

Computed properties:
E ... -4.61 eV per atom
Spin magnetization ... 0.032 μB/f.u.

```
&SYSTEM
  ibrav = 0, nat = 3, ntyp = 3
/
ATOMIC_SPECIES
Sr 87.62 Sr.upf
Sc 44.96 Sc.upf
Pd 106.42 Pd.upf
CELL_PARAMETERS angstrom
0.000 3.482 3.482
3.482 0.000 3.482
3.482 3.482 0.000
ATOMIC_POSITIONS angstrom
Sr 0.000 0.000 0.000
Sc 3.482 3.482 3.482
Pd 5.224 5.224 5.224
```



Computed, not measured: a relaxed structure of Sc5TcPd4 at the PBE-GGA level of DFT. Values from VASP.

Computed properties:
Energy of formation ... -0.781 eV/atom
E ... -7.05 eV per atom
Spin magnetization ... 0.009 μB/f.u.

```
&SYSTEM
  ibrav = 0, nat = 10, ntyp = 3
/
ATOMIC_SPECIES
Sc 44.96 Sc.upf
Tc 98.00 Tc.upf
Pd 106.42 Pd.upf
CELL_PARAMETERS angstrom
3.287 0.000 0.000
0.000 3.287 0.000
0.000 0.000 16.485
ATOMIC_POSITIONS angstrom
Sc 0.000 0.000 0.000
Sc 0.000 0.000 3.339
Sc 0.000 0.000 6.710
Sc 0.000 0.000 9.775
Sc 0.000 0.000 13.146
Tc 1.643 1.643 8.243
Pd 1.643 1.643 1.685
Pd 1.643 1.643 4.957
Pd 1.643 1.643 11.528
Pd 1.643 1.643 14.800
```



Computed, not measured: a relaxed structure of ScTePd at the PBE-GGA level of DFT. Values from VASP.

Computed properties:
E ... -5.49 eV per atom
Spin magnetization ... 0.001 μB/f.u.

```
&SYSTEM
  ibrav = 0, nat = 9, ntyp = 3
/
ATOMIC_SPECIES
Sc 44.96 Sc.upf
Te 127.60 Te.upf
Pd 106.42 Pd.upf
CELL_PARAMETERS angstrom
7.709 0.000 0.000
-3.854 6.676 0.000
0.000 0.000 3.809
ATOMIC_POSITIONS angstrom
Sc 0.000 0.000 0.000
Sc 0.000 4.451 1.905
Sc 3.854 2.225 1.905
Te -1.089 1.886 1.905
Te 2.178 0.000 1.905
Te 2.766 4.790 1.905
Pd -2.435 4.218 0.000
Pd 1.419 2.458 0.000
Pd 4.870 0.000 0.000
```



Computed, not measured: a relaxed structure of Sc7Te2Pd2 at the PBE-GGA level of DFT. Values from VASP.

Computed properties:
E ... -6.33 eV per atom
Spin magnetization ... 0.057 μB/f.u.

```
&SYSTEM
  ibrav = 0, nat = 11, ntyp = 3
/
ATOMIC_SPECIES
Sc 44.96 Sc.upf
Te 127.60 Te.upf
Pd 106.42 Pd.upf
CELL_PARAMETERS angstrom
-1.878 7.315 4.510
1.878 -7.315 4.510
1.878 7.315 -4.510
ATOMIC_POSITIONS angstrom
Sc 0.000 0.000 0.000
Sc 1.878 5.443 -0.766
Sc 1.878 2.669 1.143
Sc 0.000 1.872 3.744
Sc 0.000 5.200 2.380
Sc 0.000 9.430 2.380
Sc 0.000 4.647 5.653
Te 1.878 0.000 2.372
Te 0.000 0.000 6.003
Pd 1.878 -3.852 3.912
Pd 1.878 3.852 3.912
```



Computed, not measured: a relaxed structure of ScTe2Pd at the PBE-GGA level of DFT. Values from VASP.

Computed properties:
E ... -4.71 eV per atom
Spin magnetization ... 0.004 μB/f.u.

```
&SYSTEM
  ibrav = 0, nat = 4, ntyp = 3
/
ATOMIC_SPECIES
Sc 44.96 Sc.upf
Te 127.60 Te.upf
Pd 106.42 Pd.upf
CELL_PARAMETERS angstrom
0.000 3.573 3.573
3.573 0.000 3.573
3.573 3.573 0.000
ATOMIC_POSITIONS angstrom
Sc 0.000 0.000 0.000
Te 3.573 3.573 3.573
Te 5.360 5.360 5.360
Pd 1.787 1.787 1.787
```



Computed, not measured: a relaxed structure of Sc2Te2Pd3 at the PBE-GGA level of DFT. Values from VASP.

Computed properties:
E ... -5.63 eV per atom
Spin magnetization ... 0.006 μB/f.u.

```
&SYSTEM
  ibrav = 0, nat = 14, ntyp = 3
/
ATOMIC_SPECIES
Sc 44.96 Sc.upf
Te 127.60 Te.upf
Pd 106.42 Pd.upf
CELL_PARAMETERS angstrom
5.689 0.000 0.000
0.000 8.311 0.000
0.000 0.000 6.112
ATOMIC_POSITIONS angstrom
Sc 1.422 2.078 1.378
Sc 1.422 6.234 1.664
Sc 4.267 2.078 4.448
Sc 4.267 6.234 4.734
Te 1.422 4.536 5.263
Te 1.422 7.931 5.263
Te 4.267 0.380 0.849
Te 4.267 3.775 0.849
Pd 0.000 0.000 3.056
Pd 0.000 4.156 3.056
Pd 1.422 2.078 4.298
Pd 2.844 0.000 3.056
Pd 2.844 4.156 3.056
Pd 4.267 6.234 1.814
```



Computed, not measured: a relaxed structure of ThScPd6 at the PBE-GGA level of DFT. Values from VASP.

Computed properties:
Energy of formation ... -0.934 eV/atom
E ... -6.53 eV per atom
Spin magnetization ... 0.017 μB/f.u.

```
&SYSTEM
  ibrav = 0, nat = 8, ntyp = 3
/
ATOMIC_SPECIES
Th 232.04 Th.upf
Sc 44.96 Sc.upf
Pd 106.42 Pd.upf
CELL_PARAMETERS angstrom
4.118 0.000 0.000
0.000 4.118 0.000
0.000 0.000 8.139
ATOMIC_POSITIONS angstrom
Th 0.000 0.000 0.000
Sc 0.000 0.000 4.069
Pd 0.000 2.059 2.114
Pd 0.000 2.059 6.024
Pd 2.059 0.000 2.114
Pd 2.059 0.000 6.024
Pd 2.059 2.059 0.000
Pd 2.059 2.059 4.069
```



Computed, not measured: a relaxed structure of ThScPd at the PBE-GGA level of DFT. Values from VASP.

Computed properties:
Energy of formation ... -0.295 eV/atom
E ... -6.60 eV per atom
Spin magnetization ... 0.008 μB/f.u.

```
&SYSTEM
  ibrav = 0, nat = 3, ntyp = 3
/
ATOMIC_SPECIES
Th 232.04 Th.upf
Sc 44.96 Sc.upf
Pd 106.42 Pd.upf
CELL_PARAMETERS angstrom
0.000 3.414 3.414
3.414 0.000 3.414
3.414 3.414 0.000
ATOMIC_POSITIONS angstrom
Th 0.000 0.000 0.000
Sc 3.414 3.414 3.414
Pd 5.122 5.122 5.122
```



Computed, not measured: a relaxed structure of ScTl2Pd at the PBE-GGA level of DFT. Values from VASP.

Computed properties:
E ... -4.26 eV per atom
Spin magnetization ... 0.000 μB/f.u.

```
&SYSTEM
  ibrav = 0, nat = 4, ntyp = 3
/
ATOMIC_SPECIES
Sc 44.96 Sc.upf
Tl 204.38 Tl.upf
Pd 106.42 Pd.upf
CELL_PARAMETERS angstrom
0.000 3.510 3.510
3.510 0.000 3.510
3.510 3.510 0.000
ATOMIC_POSITIONS angstrom
Sc 0.000 0.000 0.000
Tl 3.510 3.510 3.510
Tl 5.265 5.265 5.265
Pd 1.755 1.755 1.755
```



Computed, not measured: a relaxed structure of Sc5Tl4Pd at the PBE-GGA level of DFT. Values from VASP.

Computed properties:
E ... -5.02 eV per atom
Spin magnetization ... 0.707 μB/f.u.

```
&SYSTEM
  ibrav = 0, nat = 10, ntyp = 3
/
ATOMIC_SPECIES
Sc 44.96 Sc.upf
Tl 204.38 Tl.upf
Pd 106.42 Pd.upf
CELL_PARAMETERS angstrom
3.363 0.000 0.000
0.000 3.363 0.000
0.000 0.000 19.752
ATOMIC_POSITIONS angstrom
Sc 0.000 0.000 0.000
Sc 0.000 0.000 4.139
Sc 0.000 0.000 8.273
Sc 0.000 0.000 11.479
Sc 0.000 0.000 15.613
Tl 1.682 1.682 2.065
Tl 1.682 1.682 6.182
Tl 1.682 1.682 13.570
Tl 1.682 1.682 17.687
Pd 1.682 1.682 9.876
```



Computed, not measured: a relaxed structure of YScPd at the PBE-GGA level of DFT. Values from VASP.

Computed properties:
Energy of formation ... 0.116 eV/atom
E ... -5.87 eV per atom
Spin magnetization ... 0.010 μB/f.u.

```
&SYSTEM
  ibrav = 0, nat = 3, ntyp = 3
/
ATOMIC_SPECIES
Y 88.91 Y.upf
Sc 44.96 Sc.upf
Pd 106.42 Pd.upf
CELL_PARAMETERS angstrom
0.000 3.279 3.279
3.279 0.000 3.279
3.279 3.279 0.000
ATOMIC_POSITIONS angstrom
Y 0.000 0.000 0.000
Sc 4.919 4.919 4.919
Pd 3.279 3.279 3.279
```



Computed, not measured: a relaxed structure of Y2ScPd2 at the PBE-GGA level of DFT. Values from VASP.

Computed properties:
Energy of formation ... -0.363 eV/atom
E ... -6.28 eV per atom
Spin magnetization ... 0.838 μB/f.u.

```
&SYSTEM
  ibrav = 0, nat = 5, ntyp = 3
/
ATOMIC_SPECIES
Y 88.91 Y.upf
Sc 44.96 Sc.upf
Pd 106.42 Pd.upf
CELL_PARAMETERS angstrom
-2.312 2.312 5.780
2.312 -2.312 5.780
2.312 2.312 -5.780
ATOMIC_POSITIONS angstrom
Y 2.312 0.000 2.890
Y 0.000 2.312 2.890
Sc 0.000 0.000 0.000
Pd 0.000 0.000 4.517
Pd 0.000 0.000 7.043
```



Computed, not measured: a relaxed structure of YSc2Pd2 at the PBE-GGA level of DFT. Values from VASP.

Computed properties:
Energy of formation ... -0.398 eV/atom
E ... -6.29 eV per atom
Spin magnetization ... 1.464 μB/f.u.

```
&SYSTEM
  ibrav = 0, nat = 5, ntyp = 3
/
ATOMIC_SPECIES
Y 88.91 Y.upf
Sc 44.96 Sc.upf
Pd 106.42 Pd.upf
CELL_PARAMETERS angstrom
-2.350 2.350 5.183
2.350 -2.350 5.183
2.350 2.350 -5.183
ATOMIC_POSITIONS angstrom
Y 0.000 0.000 0.000
Sc 0.000 0.000 3.693
Sc 0.000 0.000 6.673
Pd 2.350 0.000 2.591
Pd 0.000 2.350 2.591
```



Computed, not measured: a relaxed structure of YSc2Pd2 at the PBE-GGA level of DFT. Values from VASP.

Computed properties:
Energy of formation ... -0.635 eV/atom
E ... -6.53 eV per atom
Spin magnetization ... 0.231 μB/f.u.

```
&SYSTEM
  ibrav = 0, nat = 5, ntyp = 3
/
ATOMIC_SPECIES
Y 88.91 Y.upf
Sc 44.96 Sc.upf
Pd 106.42 Pd.upf
CELL_PARAMETERS angstrom
-2.180 2.180 5.816
2.180 -2.180 5.816
2.180 2.180 -5.816
ATOMIC_POSITIONS angstrom
Y 0.000 0.000 0.000
Sc 2.180 0.000 2.908
Sc 0.000 2.180 2.908
Pd 0.000 0.000 4.507
Pd 0.000 0.000 7.125
```



Computed, not measured: a relaxed structure of Y2ScPd2 at the PBE-GGA level of DFT. Values from VASP.

Computed properties:
Energy of formation ... -0.732 eV/atom
E ... -6.65 eV per atom
Spin magnetization ... 0.012 μB/f.u.

```
&SYSTEM
  ibrav = 0, nat = 10, ntyp = 3
/
ATOMIC_SPECIES
Y 88.91 Y.upf
Sc 44.96 Sc.upf
Pd 106.42 Pd.upf
CELL_PARAMETERS angstrom
7.518 0.000 0.000
0.000 7.518 0.000
0.000 0.000 4.043
ATOMIC_POSITIONS angstrom
Y 1.271 2.488 0.000
Y 2.488 6.247 0.000
Y 5.030 1.271 0.000
Y 6.247 5.030 0.000
Sc 0.000 0.000 2.022
Sc 3.759 3.759 2.022
Pd 1.011 4.770 2.022
Pd 2.748 1.011 2.022
Pd 4.770 6.507 2.022
Pd 6.507 2.748 2.022
```



Computed, not measured: a relaxed structure of YScPd2 at the PBE-GGA level of DFT. Values from VASP.

Computed properties:
Energy of formation ... -0.549 eV/atom
E ... -6.34 eV per atom
Spin magnetization ... 0.002 μB/f.u.

```
&SYSTEM
  ibrav = 0, nat = 4, ntyp = 3
/
ATOMIC_SPECIES
Y 88.91 Y.upf
Sc 44.96 Sc.upf
Pd 106.42 Pd.upf
CELL_PARAMETERS angstrom
0.000 3.335 3.335
3.335 0.000 3.335
3.335 3.335 0.000
ATOMIC_POSITIONS angstrom
Y 0.000 0.000 0.000
Sc 1.668 1.668 1.668
Pd 3.335 3.335 3.335
Pd 5.003 5.003 5.003
```



Computed, not measured: a relaxed structure of ScZnPd2 at the PBE-GGA level of DFT. Values from VASP.

Computed properties:
Energy of formation ... -0.745 eV/atom
E ... -5.23 eV per atom
Spin magnetization ... 0.004 μB/f.u.

```
&SYSTEM
  ibrav = 0, nat = 8, ntyp = 3
/
ATOMIC_SPECIES
Sc 44.96 Sc.upf
Zn 65.41 Zn.upf
Pd 106.42 Pd.upf
CELL_PARAMETERS angstrom
4.334 0.000 0.000
-2.167 3.753 0.000
0.000 0.000 8.526
ATOMIC_POSITIONS angstrom
Sc 0.000 2.502 2.132
Sc 2.167 1.251 6.395
Zn 0.000 0.000 0.000
Zn 0.000 0.000 4.263
Pd 0.000 2.502 4.998
Pd 0.000 2.502 7.791
Pd 2.167 1.251 0.735
Pd 2.167 1.251 3.528
```



Computed, not measured: a relaxed structure of ScZn2Pd at the PBE-GGA level of DFT. Values from VASP.

Computed properties:
Energy of formation ... -0.529 eV/atom
E ... -4.04 eV per atom
Spin magnetization ... 0.004 μB/f.u.

```
&SYSTEM
  ibrav = 0, nat = 4, ntyp = 3
/
ATOMIC_SPECIES
Sc 44.96 Sc.upf
Zn 65.41 Zn.upf
Pd 106.42 Pd.upf
CELL_PARAMETERS angstrom
-2.051 2.051 3.801
2.051 -2.051 3.801
2.051 2.051 -3.801
ATOMIC_POSITIONS angstrom
Sc 0.000 0.000 0.000
Zn 2.051 0.000 1.900
Zn 0.000 2.051 1.900
Pd 0.000 0.000 3.801
```



Computed, not measured: a relaxed structure of ScZn2Pd at the PBE-GGA level of DFT. Values from VASP.

Computed properties:
Energy of formation ... -0.528 eV/atom
E ... -4.04 eV per atom
Spin magnetization ... 0.005 μB/f.u.

```
&SYSTEM
  ibrav = 0, nat = 4, ntyp = 3
/
ATOMIC_SPECIES
Sc 44.96 Sc.upf
Zn 65.41 Zn.upf
Pd 106.42 Pd.upf
CELL_PARAMETERS angstrom
0.000 3.182 3.182
3.182 0.000 3.182
3.182 3.182 0.000
ATOMIC_POSITIONS angstrom
Sc 0.000 0.000 0.000
Zn 3.182 3.182 3.182
Zn 4.772 4.772 4.772
Pd 1.591 1.591 1.591
```



Computed, not measured: a relaxed structure of ScZnPd2 at the PBE-GGA level of DFT. Values from VASP.

Computed properties:
Energy of formation ... -0.678 eV/atom
E ... -5.16 eV per atom
Spin magnetization ... 0.002 μB/f.u.

```
&SYSTEM
  ibrav = 0, nat = 16, ntyp = 3
/
ATOMIC_SPECIES
Sc 44.96 Sc.upf
Zn 65.41 Zn.upf
Pd 106.42 Pd.upf
CELL_PARAMETERS angstrom
6.767 0.000 0.000
0.000 7.160 0.000
0.000 0.000 5.622
ATOMIC_POSITIONS angstrom
Sc 0.181 1.790 0.887
Sc 3.203 5.370 3.698
Sc 3.564 1.790 1.923
Sc 6.586 5.370 4.734
Zn 0.674 5.370 1.930
Zn 2.710 1.790 4.740
Zn 4.057 5.370 0.881
Zn 6.093 1.790 3.692
Pd 1.392 0.318 3.166
Pd 1.392 3.262 3.166
Pd 1.992 3.898 0.356
Pd 1.992 6.842 0.356
Pd 4.775 0.318 5.266
Pd 4.775 3.262 5.266
Pd 5.375 3.898 2.455
Pd 5.375 6.842 2.455
```



Computed, not measured: a relaxed structure of ScZnPd2 at the PBE-GGA level of DFT. Values from VASP.

Computed properties:
Energy of formation ... -0.790 eV/atom
E ... -5.28 eV per atom
Spin magnetization ... 0.002 μB/f.u.

```
&SYSTEM
  ibrav = 0, nat = 4, ntyp = 3
/
ATOMIC_SPECIES
Sc 44.96 Sc.upf
Zn 65.41 Zn.upf
Pd 106.42 Pd.upf
CELL_PARAMETERS angstrom
0.000 3.188 3.188
3.188 0.000 3.188
3.188 3.188 0.000
ATOMIC_POSITIONS angstrom
Sc 0.000 0.000 0.000
Zn 3.188 3.188 3.188
Pd 1.594 1.594 1.594
Pd 4.782 4.782 4.782
```



Computed, not measured: a relaxed structure of ScZnPd2 at the PBE-GGA level of DFT. Values from VASP.

Computed properties:
Energy of formation ... -0.484 eV/atom
E ... -4.97 eV per atom
Spin magnetization ... 0.004 μB/f.u.

```
&SYSTEM
  ibrav = 0, nat = 8, ntyp = 3
/
ATOMIC_SPECIES
Sc 44.96 Sc.upf
Zn 65.41 Zn.upf
Pd 106.42 Pd.upf
CELL_PARAMETERS angstrom
4.551 0.000 0.000
-2.276 3.942 0.000
0.000 0.000 7.654
ATOMIC_POSITIONS angstrom
Sc 0.000 0.000 1.913
Sc 0.000 0.000 5.740
Zn 0.000 2.628 1.913
Zn 2.276 1.314 5.740
Pd 0.000 2.628 4.423
Pd 0.000 2.628 7.058
Pd 2.276 1.314 0.596
Pd 2.276 1.314 3.231
```



Computed, not measured: a relaxed structure of ScZnPd2 at the PBE-GGA level of DFT. Values from VASP.

Computed properties:
Energy of formation ... -0.599 eV/atom
E ... -5.09 eV per atom
Spin magnetization ... 0.006 μB/f.u.

```
&SYSTEM
  ibrav = 0, nat = 4, ntyp = 3
/
ATOMIC_SPECIES
Sc 44.96 Sc.upf
Zn 65.41 Zn.upf
Pd 106.42 Pd.upf
CELL_PARAMETERS angstrom
0.000 3.209 3.209
3.209 0.000 3.209
3.209 3.209 0.000
ATOMIC_POSITIONS angstrom
Sc 0.000 0.000 0.000
Zn 4.813 4.813 4.813
Pd 1.604 1.604 1.604
Pd 3.209 3.209 3.209
```



Computed, not measured: a relaxed structure of ScZnPd2 at the PBE-GGA level of DFT. Values from VASP.

Computed properties:
Energy of formation ... -0.629 eV/atom
E ... -5.11 eV per atom
Spin magnetization ... 0.002 μB/f.u.

```
&SYSTEM
  ibrav = 0, nat = 8, ntyp = 3
/
ATOMIC_SPECIES
Sc 44.96 Sc.upf
Zn 65.41 Zn.upf
Pd 106.42 Pd.upf
CELL_PARAMETERS angstrom
4.513 0.000 0.000
-2.257 3.908 0.000
0.000 0.000 7.953
ATOMIC_POSITIONS angstrom
Sc 0.000 0.000 0.000
Sc 0.000 0.000 3.976
Zn 0.000 2.606 1.988
Zn 2.257 1.303 5.965
Pd 0.000 2.606 4.654
Pd 0.000 2.606 7.275
Pd 2.257 1.303 0.678
Pd 2.257 1.303 3.298
```



Computed, not measured: a relaxed structure of Zr4ScPd at the PBE-GGA level of DFT. Values from VASP.

Computed properties:
Energy of formation ... -0.127 eV/atom
E ... -7.74 eV per atom
Spin magnetization ... 0.036 μB/f.u.

```
&SYSTEM
  ibrav = 0, nat = 6, ntyp = 3
/
ATOMIC_SPECIES
Zr 91.22 Zr.upf
Sc 44.96 Sc.upf
Pd 106.42 Pd.upf
CELL_PARAMETERS angstrom
4.912 0.000 0.000
0.000 5.289 2.461
0.000 -5.289 2.461
ATOMIC_POSITIONS angstrom
Zr 0.000 -3.646 2.461
Zr 0.000 3.646 2.461
Zr 2.456 -1.787 2.476
Zr 2.456 1.787 2.476
Sc 2.456 0.000 0.021
Pd 0.000 0.000 2.464
```